(1)
## Tb5SnS5 (PBE-GGA)

Data for a relaxed Tb5SnS5 crystal.

## Properties
- Raw formation energy: -1.76 eV/atom

a b c (Å): 6.9612 6.9612 8.0993
angles (deg): 106.72 106.72 48.42
Positions (direct):
Tb1 0.0000 0.0000 0.0000
Tb2 0.3297 0.3297 0.6535
Tb3 0.3336 0.3336 0.1815
Tb4 0.6664 0.6664 0.8185
Tb5 0.6703 0.6703 0.3465
Sn1 0.5000 0.5000 0.0000
S1 0.1677 0.1677 0.3335
S2 0.1736 0.1736 0.8427
S3 0.5000 0.5000 0.5000
S4 0.8264 0.8264 0.1573
S5 0.8323 0.8323 0.6665

(2)
## NiAg2P (PBE-GGA)

Data for a relaxed NiAg2P crystal.

## Properties
- Final energy: -15.729 eV per formula unit

a b c (Å): 4.8770 4.8770 4.6109
angles (deg): 98.44 98.44 34.51
Positions (direct):
Ni1 0.0000 0.0000 0.0000
Ag1 0.2572 0.2572 0.7544
Ag2 0.7428 0.7428 0.2456
P1 0.5000 0.5000 0.5000

(3)
## HfVOs2 (PBE-GGA)

Data for a relaxed HfVOs2 crystal.

## Properties
- Final energy: -43.031 eV per formula unit

a b c (Å): 3.1300 3.1300 6.3407
angles (deg): 90.00 90.00 90.00
Positions (direct):
Hf1 0.0000 0.0000 0.0000
V1 0.0000 0.0000 0.5000
Os1 0.5000 0.5000 0.2669
Os2 0.5000 0.5000 0.7331

(4)
## Ce2Th3Ge4 (PBE-GGA)

Data for a relaxed Ce2Th3Ge4 crystal.

## Properties
- Excess energy over the best structure of this formula in the dataset: 0.1432 eV/atom

a b c (Å): 6.0101 6.0101 9.9431
angles (deg): 95.86 95.86 42.98
Positions (direct):
Ce1 0.1663 0.1663 0.3092
Ce2 0.8337 0.8337 0.6908
Th1 0.1339 0.1339 0.9032
Th2 0.5000 0.5000 0.5000
Th3 0.8661 0.8661 0.0968
Ge1 0.1629 0.1629 0.6113
Ge2 0.4213 0.4213 0.8865
Ge3 0.5787 0.5787 0.1135
Ge4 0.8371 0.8371 0.3887

(5)
## RbBF2 (PBE-GGA)

Data for a relaxed RbBF2 crystal.

## Properties
- Excess energy over the best structure of this formula in the dataset: 0.0000 eV/atom
- Raw formation energy: -0.99 eV/atom

a b c (Å): 6.8607 6.8607 6.8607
angles (deg): 34.15 34.15 34.15
Positions (direct):
Rb1 0.0000 0.0000 0.0000
B1 0.5000 0.5000 0.5000
F1 0.4138 0.4138 0.4138
F2 0.5862 0.5862 0.5862

(6)
## Cs2NaUH6 (PBE-GGA)

Data for a relaxed Cs2NaUH6 crystal.

## Properties
- Final energy: -34.262 eV per formula unit

a b c (Å): 6.5457 6.5457 6.5457
angles (deg): 60.00 60.00 60.00
Positions (direct):
Cs1 0.2500 0.2500 0.2500
Cs2 0.7500 0.7500 0.7500
Na1 0.0000 0.0000 0.0000
U1 0.5000 0.5000 0.5000
H1 0.2550 0.2550 0.7450
H2 0.2550 0.7450 0.2550
H3 0.2550 0.7450 0.7450
H4 0.7450 0.2550 0.2550
H5 0.7450 0.2550 0.7450
H6 0.7450 0.7450 0.2550

Copy entry 5 word for word.
## RbBF2 (PBE-GGA)

Data for a relaxed RbBF2 crystal.

## Properties
- Excess energy over the best structure of this formula in the dataset: 0.0000 eV/atom
- Raw formation energy: -0.99 eV/atom

a b c (Å): 6.8607 6.8607 6.8607
angles (deg): 34.15 34.15 34.15
Positions (direct):
Rb1 0.0000 0.0000 0.0000
B1 0.5000 0.5000 0.5000
F1 0.4138 0.4138 0.4138
F2 0.5862 0.5862 0.5862